BaNaNdCl6: relaxed, GGA-PBE.

The structure in POSCAR format:
```
BaNaNdCl6
1.0
-5.0179 -4.6788 -2.2765
6.9647 -1.1164 -1.5808
1.4279 -6.9964 11.2321
Cl Na Ba Nd
12 2 2 2
Direct
0.6408 0.9904 0.8659
0.3592 0.0096 0.1341
0.6504 0.0096 0.3659
0.9904 0.6408 0.3659
0.3592 0.3496 0.3659
0.3496 0.3592 0.8659
0.9904 0.3496 0.1341
0.6504 0.6408 0.1341
0.6408 0.6504 0.6341
0.0096 0.6504 0.8659
0.3496 0.9904 0.6341
0.0096 0.3592 0.6341
0.6667 0.3333 0.7500
0.3333 0.6667 0.2500
0.0000 0.0000 0.5000
0.0000 0.0000 0.0000
0.6667 0.3333 0.2500
0.3333 0.6667 0.7500
```

Summary:
Its raw formation energy is -2.25 eV/atom. The total DFT energy (no corrections) comes out at -4.370 eV per atom. The density of states at the Fermi level is 0.0 states/eV per cell.